[1]
A plane-wave DFT calculation with GGA-PBE was carried out for a geometry-optimized Ta3VRe structure.

a b c (Å): 4.558 4.558 4.558
angles (deg): 90.00 90.00 90.00
Space group Pm-3m (No. 221)
One atom of each set of equivalent atoms:
1 Ta 0.000 0.000 0.500 x3
2 V 0.000 0.000 0.000 x1
3 Re 0.500 0.500 0.500 x1

## Properties
energy relative to the elements: 1406 meV/atom
ΔE to the lowest computed polymorph: 0 meV per atom

=====

[2]
A plane-wave DFT calculation with GGA-PBE was carried out for a geometry-optimized TaVRe2 structure.

a b c (Å): 3.126 3.126 6.260
angles (deg): 90.00 90.00 90.00
Space group P4/mmm (No. 123)
One atom of each set of equivalent atoms:
1 Ta 0.000 0.000 0.000 x1
2 V 0.000 0.000 0.500 x1
3 Re 0.500 0.500 0.261 x2

## Properties
energy relative to the elements: -348 meV/atom